Density functional theory data (PBE) for a relaxed structure of ZrAlPd14.

Unit cell a=5.655 b=5.655 c=7.804 alpha=90.00 beta=90.00 gamma=90.00
Sites, in units of the cell vectors:
Zr: 0.000 0.000 0.000
Al: 0.500 0.500 0.000
Pd: 0.000 0.000 0.500
Pd: 0.000 0.500 0.000
Pd: 0.000 0.500 0.500
Pd: 0.253 0.253 0.246
Pd: 0.253 0.253 0.754
Pd: 0.253 0.747 0.246
Pd: 0.253 0.747 0.754
Pd: 0.500 0.000 0.000
Pd: 0.500 0.000 0.500
Pd: 0.500 0.500 0.500
Pd: 0.747 0.253 0.246
Pd: 0.747 0.253 0.754
Pd: 0.747 0.747 0.246
Pd: 0.747 0.747 0.754

Values from the calculation:
Calculated volume ... 249.5 Å³ per cell
Electronic total energy ... -5.667 eV per atom
ΔE_f ... -0.35 eV/atom